one) VASP calculation (PBE-GGA) on crystalline Cu5Ag4 at its relaxed geometry.

## Properties
volume: 260.5 Å³ per cell

a b c (Å): 11.7151 2.7484 8.3416
angles (deg): 90.00 104.06 90.00
Space group C2/m (No. 12)
Asymmetric unit:
1 Cu 0.0000 0.0000 0.0000
2 Cu 0.0000 0.0000 0.3525
3 Cu 0.1615 0.5000 0.5509
4 Ag 0.1563 0.5000 0.8793
5 Ag 0.1611 0.5000 0.2323

two) VASP calculation (PBE-GGA) on crystalline Cu5Ag4 at its relaxed geometry.

## Properties
volume: 262.7 Å³ per cell

a b c (Å): 8.7655 3.8684 8.2273
angles (deg): 90.00 109.65 90.00
Space group C2/m (No. 12)
Asymmetric unit:
1 Cu 0.0000 0.0000 0.0000
2 Cu 0.1674 0.5000 0.5559
3 Cu 0.1728 0.5000 0.8949
4 Ag 0.0003 0.0000 0.3321
5 Ag 0.1655 0.5000 0.2146

three) VASP calculation (PBE-GGA) on crystalline Cu5Ag4 at its relaxed geometry.

## Properties
volume: 261.8 Å³ per cell

a b c (Å): 2.8314 2.8314 32.6618
angles (deg): 90.00 90.00 90.00
Space group I4/mmm (No. 139)
Asymmetric unit:
1 Cu 0.0000 0.0000 0.0000
2 Cu 0.0000 0.0000 0.2269
3 Cu 0.0000 0.0000 0.3194
4 Ag 0.0000 0.0000 0.1234
5 Ag 0.0000 0.0000 0.4433

Which one is most stable, and which one is least stable? three) is the most stable of them, while two) is the least stable.

one) VASP calculation (PBE-GGA) on crystalline PaB2Te2 at its relaxed geometry.

## Properties
volume: 193.5 Å³ per cell

a b c (Å): 4.5431 4.5431 9.3776
angles (deg): 90.00 90.00 90.00
Space group I4/mmm (No. 139)
Asymmetric unit:
1 Pa 0.0000 0.0000 0.0000
2 B 0.0000 0.5000 0.2500
3 Te 0.0000 0.0000 0.3266

two) VASP calculation (PBE-GGA) on crystalline PaB2Te2 at its relaxed geometry.

## Properties
volume: 196.1 Å³ per cell

a b c (Å): 5.3110 5.3110 6.9526
angles (deg): 90.00 90.00 90.00
Space group I4/mmm (No. 139)
Asymmetric unit:
1 Pa 0.0000 0.0000 0.0000
2 B 0.0000 0.0000 0.3761
3 Te 0.0000 0.5000 0.2500

Which one is most stable, and which one is least stable? two) is the most stable of them, while one) is the least stable.

one) VASP calculation (PBE-GGA) on crystalline SmIrPd at its relaxed geometry.

## Properties
volume: 272.5 Å³ per cell

a b c (Å): 6.4834 6.4834 6.4834
angles (deg): 90.00 90.00 90.00
Space group F-43m (No. 216)
Asymmetric unit:
1 Sm 0.0000 0.0000 0.0000
2 Ir 0.2500 0.2500 0.7500
3 Pd 0.2500 0.2500 0.2500

two) VASP calculation (PBE-GGA) on crystalline SmIrPd at its relaxed geometry.

## Properties
volume: 271.6 Å³ per cell

a b c (Å): 6.4761 6.4761 6.4761
angles (deg): 90.00 90.00 90.00
Space group F-43m (No. 216)
Asymmetric unit:
1 Sm 0.0000 0.0000 0.0000
2 Ir 0.2500 0.2500 0.2500
3 Pd 0.0000 0.0000 0.5000

Which one is most stable, and which one is least stable? two) is the most stable of them, while one) is the least stable.

one) VASP calculation (PBE-GGA) on crystalline BaNbRe at its relaxed geometry.

## Properties
volume: 289.3 Å³ per cell

a b c (Å): 6.6137 6.6137 6.6137
angles (deg): 90.00 90.00 90.00
Space group F-43m (No. 216)
Asymmetric unit:
1 Ba 0.0000 0.0000 0.0000
2 Nb 0.2500 0.2500 0.7500
3 Re 0.2500 0.2500 0.2500

two) VASP calculation (PBE-GGA) on crystalline BaNbRe at its relaxed geometry.

## Properties
volume: 304.9 Å³ per cell

a b c (Å): 6.7302 6.7302 6.7302
angles (deg): 90.00 90.00 90.00
Space group F-43m (No. 216)
Asymmetric unit:
1 Ba 0.0000 0.0000 0.0000
2 Nb 0.0000 0.0000 0.5000
3 Re 0.2500 0.2500 0.2500

Which one is most stable, and which one is least stable? two) is the most stable of them, while one) is the least stable.

one) VASP calculation (PBE-GGA) on crystalline Cd2OF2 at its relaxed geometry.

## Properties
volume: 425.4 Å³ per cell

a b c (Å): 6.2680 6.2680 10.8289
angles (deg): 90.00 90.00 90.00
Space group I4_1/amd (No. 141, origin choice 2)
Asymmetric unit:
1 Cd 0.0000 0.0000 0.0000
2 O 0.0000 0.2500 0.8750
3 F 0.0000 0.2500 0.1484

two) VASP calculation (PBE-GGA) on crystalline Cd2OF2 at its relaxed geometry.

## Properties
volume: 280.4 Å³ per cell

a b c (Å): 5.6766 9.0854 5.4373
angles (deg): 90.00 90.00 90.00
Space group Ibam (No. 72)
Asymmetric unit:
1 Cd 0.2322 0.1111 0.0000
2 O 0.0000 0.0000 0.2500
3 F 0.1093 0.3486 0.0000

Which one is most stable, and which one is least stable? two) is the most stable of them, while one) is the least stable.

one) VASP calculation (PBE-GGA) on crystalline RbCo at its relaxed geometry.

## Properties
volume: 71.1 Å³ per cell

a b c (Å): 4.1430 4.1430 4.1430
angles (deg): 90.00 90.00 90.00
Space group Pm-3m (No. 221)
Asymmetric unit:
1 Rb 0.0000 0.0000 0.0000
2 Co 0.5000 0.5000 0.5000

two) VASP calculation (PBE-GGA) on crystalline RbCo at its relaxed geometry.

## Properties
volume: 242.5 Å³ per cell

a b c (Å): 4.3899 4.3899 14.5329
angles (deg): 90.00 90.00 120.00
Space group R-3m (No. 166, hexagonal axes)
Asymmetric unit:
1 Rb 0.0000 0.0000 0.0000
2 Co 0.0000 0.0000 0.5000

Which one is most stable, and which one is least stable? one) is the most stable of them, while two) is the least stable.

one) VASP calculation (PBE-GGA) on crystalline BaTmAgTeS2 at its relaxed geometry.

## Properties
volume: 323.5 Å³ per cell

a b c (Å): 8.2658 4.1778 9.7452
angles (deg): 90.00 105.97 90.00
Space group P2_1/m (No. 11)
Asymmetric unit:
1 Ba 0.2061 0.2500 0.2289
2 Tm 0.3257 0.7500 0.8540
3 Ag 0.0848 0.2500 0.5952
4 Te 0.2882 0.7500 0.5316
5 S 0.1107 0.2500 0.8674
6 S 0.4497 0.7500 0.1370

two) VASP calculation (PBE-GGA) on crystalline BaTmAgTeS2 at its relaxed geometry.

## Properties
volume: 684.3 Å³ per cell

a b c (Å): 4.1466 14.9573 11.0334
angles (deg): 90.00 90.00 90.00
Space group Cmcm (No. 63)
Asymmetric unit:
1 Ba 0.0000 0.2128 0.2500
2 Tm 0.0000 0.0000 0.0000
3 Ag 0.0000 0.4816 0.7500
4 Te 0.0000 0.1026 0.7500
5 S 0.0000 0.3846 0.5622

Which one is most stable, and which one is least stable? one) is the most stable of them, while two) is the least stable.

one) VASP calculation (PBE-GGA) on crystalline GdScPt at its relaxed geometry.

## Properties
volume: 275.7 Å³ per cell

a b c (Å): 6.5085 6.5085 6.5085
angles (deg): 90.00 90.00 90.00
Space group F-43m (No. 216)
Asymmetric unit:
1 Gd 0.0000 0.0000 0.0000
2 Sc 0.2500 0.2500 0.2500
3 Pt 0.0000 0.0000 0.5000

two) VASP calculation (PBE-GGA) on crystalline GdScPt at its relaxed geometry.

## Properties
volume: 285.7 Å³ per cell

a b c (Å): 6.5862 6.5862 6.5862
angles (deg): 90.00 90.00 90.00
Space group F-43m (No. 216)
Asymmetric unit:
1 Gd 0.0000 0.0000 0.0000
2 Sc 0.2500 0.2500 0.2500
3 Pt 0.2500 0.2500 0.7500

Which one is most stable, and which one is least stable? one) is the most stable of them, while two) is the least stable.